Record 1
Below is a relaxed KCoTc2 crystal, with properties calculated at the GGA-PBE level.

Structure (extended XYZ):
```
4
Lattice="2.641 0.110 0.000 -0.112 2.641 0.000 0.000 0.000 9.674" Properties=species:S:1:pos:R:3 pbc="T T T"
Co 1.265 1.375 2.418
K 1.265 1.375 7.255
Tc 0.000 0.000 0.605
Tc 0.000 0.000 4.232
```

Computed properties:
- energy relative to the lowest polymorph listed for this composition (eV per atom) = 0.079
- formation energy from the elements (eV per atom) = 0.820

Record 2
Below is a relaxed KCoTc2 crystal, with properties calculated at the GGA-PBE level.

Structure (extended XYZ):
```
4
Lattice="5.010 0.000 0.000 0.000 3.683 0.000 0.000 0.000 3.683" Properties=species:S:1:pos:R:3 pbc="T T T"
Co 2.505 1.841 0.000
K 2.505 0.000 1.841
Tc 0.000 0.000 0.000
Tc 0.000 1.841 1.841
```

Computed properties:
- energy relative to the lowest polymorph listed for this composition (eV per atom) = 0.838
- formation energy from the elements (eV per atom) = 1.579

Record 3
Below is a relaxed KCoTc3 crystal, with properties calculated at the GGA-PBE level.

Structure (extended XYZ):
```
5
Lattice="-2.382 1.557 -3.615 -3.826 -1.909 1.698 -0.925 3.885 2.283" Properties=species:S:1:pos:R:3 pbc="T T T"
K -3.566 1.767 0.183
Co 0.000 0.000 0.000
Tc -1.913 -0.954 0.849
Tc -0.462 1.943 1.141
Tc -1.191 0.779 -1.807
```

Computed properties:
- formation energy from the elements (eV per atom) = 1.657

Record 4
Below is a relaxed KCoTc2 crystal, with properties calculated at the GGA-PBE level.

Structure (extended XYZ):
```
8
Lattice="4.827 0.000 0.000 0.000 4.827 0.000 2.413 2.413 8.236" Properties=species:S:1:pos:R:3 pbc="T T T"
K 2.413 2.413 0.000
K 2.413 4.827 4.118
Co 0.000 0.000 0.000
Co 4.827 2.413 4.118
Tc 4.828 1.207 2.059
Tc 4.826 3.620 2.059
Tc 3.620 2.412 6.177
Tc 6.034 2.414 6.177
```

Computed properties:
- energy relative to the lowest polymorph listed for this composition (eV per atom) = 0.777
- formation energy from the elements (eV per atom) = 1.518

Record 5
Below is a relaxed KCoTc2 crystal, with properties calculated at the GGA-PBE level.

Structure (extended XYZ):
```
4
Lattice="5.538 0.096 0.000 2.962 4.680 0.000 -4.250 -2.388 2.629" Properties=species:S:1:pos:R:3 pbc="T T T"
Co 2.769 0.048 1.315
K 1.481 2.340 1.315
Tc 0.000 0.000 0.000
Tc 4.250 2.388 0.000
```

Computed properties:
- energy relative to the lowest polymorph listed for this composition (eV per atom) = 0.842
- formation energy from the elements (eV per atom) = 1.583

Record 6
Below is a relaxed KCoTc crystal, with properties calculated at the GGA-PBE level.

Structure (extended XYZ):
```
3
Lattice="-3.359 6.090 1.730 -5.621 4.306 1.106 -0.496 -0.378 2.881" Properties=species:S:1:pos:R:3 pbc="T T T"
Co -0.810 0.021 2.879
K -3.379 3.284 2.865
Tc -5.782 6.334 2.853
```

Computed properties:
- energy relative to the lowest polymorph listed for this composition (eV per atom) = 0.026
- formation energy from the elements (eV per atom) = 0.853

Record 7
Below is a relaxed KCoTc2 crystal, with properties calculated at the GGA-PBE level.

Structure (extended XYZ):
```
4
Lattice="-3.286 -7.678 5.799 -1.837 -9.182 3.961 -0.555 -8.066 6.165" Properties=species:S:1:pos:R:3 pbc="T T T"
Co -2.914 -12.793 8.173
K -4.275 -18.769 11.991
Tc -5.592 -24.550 15.684
Tc -1.413 -6.203 3.963
```

Computed properties:
- energy relative to the lowest polymorph listed for this composition (eV per atom) = 0.000
- formation energy from the elements (eV per atom) = 0.741

Record 8
Below is a relaxed KYCoTc2 crystal, with properties calculated at the GGA-PBE level.

Structure (extended XYZ):
```
5
Lattice="-4.424 1.134 0.644 -0.964 -0.921 -5.001 -0.981 -4.394 0.999" Properties=species:S:1:pos:R:3 pbc="T T T"
Y -0.482 -0.461 -2.501
K -3.184 -2.091 -1.679
Co 0.000 0.000 0.000
Tc -0.490 -2.197 0.499
Tc -2.212 0.567 0.322
```

Computed properties:
- formation energy from the elements (eV per atom) = 1.008

Record 9
Below is a relaxed K3CoTe crystal, with properties calculated at the GGA-PBE level.

Structure (extended XYZ):
```
5
Lattice="-4.856 -1.164 -4.355 -2.547 -4.573 4.062 -3.719 4.651 2.904" Properties=species:S:1:pos:R:3 pbc="T T T"
K -1.274 -2.286 2.031
K -1.860 2.326 1.452
K -2.428 -0.582 -2.178
Te 0.000 0.000 0.000
Co -5.561 -0.543 1.306
```

Computed properties:
- energy relative to the lowest polymorph listed for this composition (eV per atom) = 0.000
- formation energy without anion corrections (eV/atom) = 0.1510

Record 10
Below is a relaxed KCoTe crystal, with properties calculated at the GGA-PBE level.

Structure (extended XYZ):
```
3
Lattice="-2.567 3.458 -2.097 -4.716 0.293 0.785 -1.772 3.593 2.625" Properties=species:S:1:pos:R:3 pbc="T T T"
Co -6.791 5.508 0.985
K 0.000 0.000 0.000
Te -4.527 3.672 0.657
```

Computed properties:
- energy relative to the lowest polymorph listed for this composition (eV per atom) = 0.461
- formation energy without anion corrections (eV/atom) = 0.1924

Record 11
Below is a relaxed KCoTe crystal, with properties calculated at the GGA-PBE level.

Structure (extended XYZ):
```
3
Lattice="-5.737 -2.638 -1.924 -1.875 -5.743 -2.659 3.476 3.236 4.584" Properties=species:S:1:pos:R:3 pbc="T T T"
Co -0.420 -0.463 -0.253
K -2.531 -2.786 -1.524
Te -4.661 -5.132 -2.806
```

Computed properties:
- energy relative to the lowest polymorph listed for this composition (eV per atom) = 0.322
- formation energy without anion corrections (eV/atom) = 0.0531

Record 12
Below is a relaxed KCoTe crystal, with properties calculated at the GGA-PBE level.

Structure (extended XYZ):
```
3
Lattice="-2.522 2.859 -2.098 1.103 -3.747 -1.919 -4.344 -2.328 2.049" Properties=species:S:1:pos:R:3 pbc="T T T"
Co -3.618 -1.939 1.706
K -2.760 -0.118 -1.356
Te -3.729 -3.487 -0.269
```

Computed properties:
- energy relative to the lowest polymorph listed for this composition (eV per atom) = 0.092
- formation energy without anion corrections (eV/atom) = -0.1764

Record 13
Below is a relaxed K4CoTe crystal, with properties calculated at the GGA-PBE level.

Structure (extended XYZ):
```
6
Lattice="0.000 4.939 4.939 4.939 0.000 4.939 4.939 4.939 0.000" Properties=species:S:1:pos:R:3 pbc="T T T"
K 3.717 6.161 6.161
K 6.161 6.161 3.717
K 6.161 3.717 6.161
K 3.717 3.717 3.717
Co 0.000 0.000 0.000
Te 7.409 7.409 7.409
```

Computed properties:
- formation energy without anion corrections (eV/atom) = 0.5130

Record 14
Below is a relaxed K2CoTe2 crystal, with properties calculated at the GGA-PBE level.

Structure (extended XYZ):
```
10
Lattice="7.247 0.000 0.000 0.000 7.247 0.000 0.000 0.000 5.632" Properties=species:S:1:pos:R:3 pbc="T T T"
K 1.139 4.762 2.816
K 4.762 6.108 2.816
K 6.108 2.485 2.816
K 2.485 1.139 2.816
Te 2.392 6.015 0.000
Te 6.015 4.855 0.000
Te 4.855 1.232 0.000
Te 1.232 2.392 0.000
Co 0.000 0.000 0.000
Co 3.623 3.623 0.000
```

Computed properties:
- formation energy without anion corrections (eV/atom) = -0.2820

Record 15
Below is a relaxed KCoTe4 crystal, with properties calculated at the GGA-PBE level.

Structure (extended XYZ):
```
6
Lattice="0.000 4.579 4.579 4.579 0.000 4.579 4.579 4.579 0.000" Properties=species:S:1:pos:R:3 pbc="T T T"
K 0.000 0.000 0.000
Co 6.869 6.869 6.869
Te 5.713 3.446 5.713
Te 3.446 5.713 5.713
Te 5.713 5.713 3.446
Te 3.446 3.446 3.446
```

Computed properties:
- formation energy without anion corrections (eV/atom) = 0.4630

Record 16
Below is a relaxed KCoTe crystal, with properties calculated at the GGA-PBE level.

Structure (extended XYZ):
```
6
Lattice="-3.965 -1.041 1.006 1.422 -2.254 3.274 -0.660 8.321 6.016" Properties=species:S:1:pos:R:3 pbc="T T T"
K 0.181 5.564 6.474
K -2.112 1.110 1.682
Te 0.472 1.897 3.823
Te -2.403 4.777 4.333
Co -0.330 4.161 3.008
Co -1.601 2.513 5.148
```

Computed properties:
- energy relative to the lowest polymorph listed for this composition (eV per atom) = 0.000
- formation energy without anion corrections (eV/atom) = -0.2687

Record 17
Below is a relaxed K2TlCoTe crystal, with properties calculated at the GGA-PBE level.

Structure (extended XYZ):
```
5
Lattice="-5.754 -0.646 0.997 0.668 -5.034 0.589 0.907 0.794 5.750" Properties=species:S:1:pos:R:3 pbc="T T T"
Tl 0.334 -2.517 0.295
Te -2.090 -2.444 3.668
Co 0.000 0.000 0.000
K 0.453 0.397 2.875
K -2.877 -0.323 0.498
```

Computed properties:
- formation energy without anion corrections (eV/atom) = 0.1854

Record 18
Below is a relaxed KZrCoTe3 crystal, with properties calculated at the GGA-PBE level.

Structure (extended XYZ):
```
12
Lattice="-2.769 1.168 -2.603 -5.149 -8.073 1.854 -2.274 8.126 6.067" Properties=species:S:1:pos:R:3 pbc="T T T"
K -2.424 0.427 1.252
K -7.769 0.795 4.067
Zr -4.689 -3.927 1.707
Zr -5.503 5.149 3.612
Co -2.480 4.449 3.118
Co -7.712 -3.227 2.201
Te -7.040 -5.174 0.612
Te -3.153 6.396 4.707
Te -5.864 -2.256 3.708
Te -4.329 3.478 1.612
Te -4.791 -1.675 -0.209
Te -5.401 2.897 5.528
```

Computed properties:
- formation energy without anion corrections (eV/atom) = -0.7240

Record 19
Below is a relaxed KTiCo2 crystal, with properties calculated at the GGA-PBE level.

Structure (extended XYZ):
```
8
Lattice="-0.786 2.973 -3.762 0.799 -3.678 -3.073 -7.659 -2.162 -3.245" Properties=species:S:1:pos:R:3 pbc="T T T"
K 0.006 -0.353 -3.418
K -3.427 -3.096 -4.868
Co -2.503 1.603 -4.489
Co -2.103 -0.240 -6.021
Co -5.940 -0.964 -4.227
Co -6.332 0.518 -6.111
Ti 0.000 0.000 0.000
Ti -4.220 0.229 -5.212
```

Computed properties:
- energy relative to the lowest polymorph listed for this composition (eV per atom) = 0.000
- formation energy from the elements (eV per atom) = 0.969

Record 20
Below is a relaxed K2TiCo crystal, with properties calculated at the GGA-PBE level.

Structure (extended XYZ):
```
4
Lattice="-5.079 -1.455 -2.027 -4.698 1.636 2.698 -3.361 3.930 -2.300" Properties=species:S:1:pos:R:3 pbc="T T T"
K -3.285 1.028 -0.407
K -9.854 3.083 -1.222
Co -6.569 2.055 -0.815
Ti 0.000 0.000 0.000
```

Computed properties:
- energy relative to the lowest polymorph listed for this composition (eV per atom) = 0.668
- formation energy from the elements (eV per atom) = 1.569

| no. | raw total energy (Ry/atom) |
| --- | --- |
| 1 | -0.471 |
| 2 | -0.416 |
| 3 | -0.456 |
| 4 | -0.420 |
| 5 | -0.415 |
| 6 | -0.392 |
| 7 | -0.477 |
| 8 | -0.446 |
| 9 | -0.188 |
| 10 | -0.264 |
| 11 | -0.274 |
| 12 | -0.291 |
| 13 | -0.142 |
| 14 | -0.250 |
| 15 | -0.220 |
| 16 | -0.298 |
| 17 | -0.204 |
| 18 | -0.374 |
| 19 | -0.355 |
| 20 | -0.201 |